[1]
A plane-wave DFT calculation with SCAN was carried out for InGa2Ru2 at its PBEsol-relaxed geometry.

E_form: -209.8 meV per atom
SG: No. 127
Uncorrected energy: -273.6 eV/cell
D(E_F): 3.973 states/eV/cell

Cell: 7.028 7.028 3.106 Å, 90.00 90.00 90.00°
Fractional positions:
In 0.000 0.000 0.000
In 0.500 0.500 0.000
Ga 0.146 0.354 0.500
Ga 0.354 0.854 0.500
Ga 0.646 0.146 0.500
Ga 0.854 0.646 0.500
Ru 0.149 0.649 0.000
Ru 0.351 0.149 0.000
Ru 0.649 0.851 0.000
Ru 0.851 0.351 0.000

***

[2]
A plane-wave DFT calculation with SCAN was carried out for InGaS3 at its PBEsol-relaxed geometry.

SG: No. 36
Uncorrected energy: -164.6 eV/cell
Formation energy (no corrections): -0.736 eV/atom
D(E_F): 0.000 states/eV/cell

Cell: 9.872 9.872 6.144 Å, 90.00 90.00 158.10°
Fractional positions:
In 0.167 0.833 0.500
In 0.833 0.167 0.000
Ga 0.383 0.617 0.554
Ga 0.617 0.383 0.054
S 0.066 0.934 0.206
S 0.279 0.721 0.741
S 0.397 0.603 0.193
S 0.603 0.397 0.693
S 0.721 0.279 0.241
S 0.934 0.066 0.706

***

[3]
A plane-wave DFT calculation with SCAN was carried out for InGaS3 at its PBEsol-relaxed geometry.

SG: No. 1
Uncorrected energy: -410.3 eV/cell
Formation energy (no corrections): -0.689 eV/atom

Cell: 6.604 6.607 15.071 Å, 86.33 82.07 60.06°
Fractional positions:
In 0.000 0.000 0.000
In 0.087 0.674 0.727
In 0.348 0.347 0.992
In 0.662 0.685 0.992
In 0.758 0.337 0.728
Ga 0.155 0.364 0.437
Ga 0.418 0.009 0.743
Ga 0.511 0.653 0.437
Ga 0.593 0.008 0.305
Ga 0.926 0.326 0.242
S 0.035 0.673 0.892
S 0.139 0.308 0.666
S 0.172 0.665 0.490
S 0.242 0.349 0.278
S 0.314 0.676 0.081
S 0.362 0.017 0.891
S 0.442 0.702 0.669
S 0.496 0.009 0.460
S 0.580 0.668 0.278
S 0.634 0.012 0.081
S 0.715 0.337 0.892
S 0.746 0.006 0.665
S 0.828 0.349 0.488
S 0.941 0.985 0.266
S 0.977 0.348 0.080